Entry 1:
Pr2TmPdO5 | PBE | relaxed

Cell and atoms, written as POSCAR:
```
Pr2TmPdO5
1.0
-3.8173 2.4103 3.8341
-4.4937 -4.6094 -1.5763
2.3423 -3.9248 4.7994
Pr Tm Pd O
4 2 2 10
direct
0.5000 0.6621 0.1621
0.5000 0.1621 0.3379
0.5000 0.8379 0.6621
0.5000 0.3379 0.8379
0.0000 0.5000 0.5000
0.0000 0.0000 0.0000
0.0000 0.0000 0.5000
0.0000 0.5000 0.0000
0.5000 0.5000 0.5000
0.5000 0.0000 0.0000
0.2318 0.1708 0.6708
0.2318 0.8292 0.3292
0.2318 0.3292 0.1708
0.2318 0.6708 0.8292
0.7682 0.1708 0.6708
0.7682 0.6708 0.8292
0.7682 0.8292 0.3292
0.7682 0.3292 0.1708
```

Properties
Formation energy from raw total energies ... -2.3117 eV/atom

Entry 2:
MnNiTe3 | PBE | relaxed

Cell and atoms, written as POSCAR:
```
MnNiTe3
1.0
4.9730 0.0000 0.0000
0.0000 4.9730 0.0000
0.0000 0.0000 4.9730
Ni Te Mn
1 3 1
direct
0.0000 0.0000 0.0000
0.0000 0.5000 0.0000
0.0000 0.0000 0.5000
0.5000 0.0000 0.0000
0.5000 0.5000 0.5000
```

Properties
Energy above the most stable polymorph in this dataset ... 559 kJ/mol of formula units
Formation energy from raw total energies ... 0.9960 eV/atom

Entry 3:
SrLa2ZnCo | PBE | relaxed

Cell and atoms, written as POSCAR:
```
SrLa2ZnCo
1.0
5.1968 0.0000 0.0000
0.0000 5.1968 0.0000
0.0000 0.0000 5.9441
Sr Zn Co La
1 1 1 2
direct
0.0000 0.0000 0.5000
0.5000 0.5000 0.5000
0.0000 0.0000 0.0000
0.0000 0.5000 0.0000
0.5000 0.0000 0.0000
```

Properties
Energy above the most stable polymorph in this dataset ... 26 kJ/mol of formula units
Formation energy ... 0.020 eV per atom

Entry 4:
RbSr2MgAg | PBE | relaxed

Cell and atoms, written as POSCAR:
```
RbSr2MgAg
1.0
6.3678 0.0000 0.0000
0.0000 6.3678 0.0000
0.0000 0.0000 5.4741
Sr Mg Rb Ag
2 1 1 1
direct
0.0000 0.5000 0.0000
0.5000 0.0000 0.0000
0.0000 0.0000 0.5000
0.5000 0.5000 0.5000
0.0000 0.0000 0.0000
```

Properties
Formation energy ... 0.018 eV per atom

Entry 5:
TcPO2F | PBE | relaxed

Cell and atoms, written as POSCAR:
```
TcPO2F
1.0
3.7900 0.0000 0.0000
0.0000 3.7900 0.0000
0.0000 0.0000 4.2224
P Tc O F
1 1 2 1
direct
0.0000 0.0000 0.0000
0.5000 0.5000 0.5000
0.0000 0.5000 0.0000
0.5000 0.0000 0.0000
0.0000 0.0000 0.5000
```

Properties
Formation energy from raw total energies ... -0.2309 eV/atom

Entry 6:
Cd2PbF6 | PBE | relaxed

Cell and atoms, written as POSCAR:
```
Cd2PbF6
1.0
4.2753 0.0000 0.0000
2.1377 5.8250 -0.2593
2.1377 2.1361 6.5414
Cd Pb F
2 1 6
direct
0.1770 0.7593 0.8866
0.8230 0.2407 0.1134
0.0000 0.5000 0.5000
0.7417 0.6313 0.8853
0.2583 0.3687 0.1147
0.9835 0.8420 0.1911
0.3601 0.6942 0.5856
0.0165 0.1580 0.8089
0.6399 0.3058 0.4144
```

Properties
Energy above the most stable polymorph in this dataset ... 5 kJ/mol of formula units
Formation energy from raw total energies ... -2.2451 eV/atom

Entry 7:
NaSr2Hg | PBE | relaxed

Cell and atoms, written as POSCAR:
```
NaSr2Hg
1.0
4.0272 0.0000 0.0000
0.0000 4.0272 0.0000
0.0000 0.0000 9.5057
Sr Hg Na
2 1 1
direct
0.0000 0.0000 0.7956
0.0000 0.0000 0.2044
0.5000 0.5000 0.0000
0.5000 0.5000 0.5000
```

Properties
Formation energy ... -0.283 eV per atom

Entry 8:
MnNbB4 | PBE | relaxed

Cell and atoms, written as POSCAR:
```
MnNbB4
1.0
3.2053 0.0000 0.0000
0.0000 5.7194 0.0000
0.0000 0.0000 11.1072
Mn Nb B
4 4 16
direct
0.0000 0.6330 0.0894
0.0000 0.3670 0.9106
0.0000 0.1330 0.4106
0.0000 0.8670 0.5894
0.0000 0.6304 0.3484
0.0000 0.3696 0.6516
0.0000 0.1304 0.1516
0.0000 0.8696 0.8484
0.5000 0.7914 0.1874
0.5000 0.2086 0.8126
0.5000 0.2914 0.3126
0.5000 0.7086 0.6874
0.5000 0.8687 0.0329
0.5000 0.1313 0.9671
0.5000 0.3687 0.4671
0.5000 0.6313 0.5329
0.5000 0.8837 0.4519
0.5000 0.1163 0.5481
0.5000 0.3837 0.0481
0.5000 0.6163 0.9519
0.5000 0.9783 0.3054
0.5000 0.0217 0.6946
0.5000 0.4783 0.1946
0.5000 0.5217 0.8054
```

Properties
Formation energy ... -0.461 eV per atom

Calculated total energy in eV per atom, matching the order above: -7.202; -3.879; -3.964; -1.738; -5.744; -4.108; -1.529; -8.119